Density functional theory data (PBE-GGA) for a relaxed PrNd2Sn crystal.

Lattice parameters (Å, degrees): 3.545 3.545 12.374 81.76 81.76 60.00
Fractional positions:
Sn (0.500, 0.500, 0.500)
Nd (0.095, 0.095, 0.716)
Nd (0.905, 0.905, 0.284)
Pr (0.000, 0.000, 0.000)

Values from the calculation:
**Space-group type**: R-3m (166)
**ΔE_f**: -0.039 eV/atom
**Final energy**: -18.47 eV per cell
**Energy above the lowest structure with this stoichiometry**: 413 meV/atom